An optimized crystal structure of Tm2Al3Ag4, computed with GGA-PBE.

Output
ΔE_f = -285 meV per atom
Mass density = 7.99 g/cm³
Final energy = -3.794 eV/atom

a = 5.6885 Å, b = 15.8101 Å, c = 7.8551 Å
α = 90.00°, β = 90.00°, γ = 90.00°
With the nearest neighbours (Å) after each atom.
Space group Cmce (No. 64)
One atom of each set of equivalent atoms:
Tm: 0.0000 0.1020 0.1017 (multiplicity 8)  4 Al 3.14-3.37, 7 Ag 3.15-3.23
Al: 0.0000 0.0000 0.5000 (multiplicity 4)  6 Ag 2.64-2.79
Al: 0.2500 0.2373 0.7500 (multiplicity 8)  5 Ag 2.70-2.71, 2 Al 2.84
Ag: 0.0000 0.1760 0.4839 (multiplicity 8)  5 Al 2.70-2.79
Ag: 0.2500 0.0662 0.7500 (multiplicity 8)  3 Al 2.64-2.71, 2 Ag 2.84